[1]
Below is Cs2AlW after structural relaxation, with properties calculated at the PBE-GGA level. Values from VASP.

The structure in Quantum ESPRESSO input format:
```
&SYSTEM
  ibrav = 0, nat = 4, ntyp = 3
/
ATOMIC_SPECIES
Al 26.98 Al.upf
Cs 132.91 Cs.upf
W 183.84 W.upf
CELL_PARAMETERS angstrom
0.000 4.402 4.402
4.402 0.000 4.402
4.402 4.402 0.000
ATOMIC_POSITIONS angstrom
Al 0.000 0.000 0.000
Cs 2.201 2.201 2.201
Cs 6.603 6.603 6.603
W 4.402 4.402 4.402
```

Computed properties:
VASP energy, eV per formula unit: -11.0
Formation enthalpy at 0 K, eV/atom: 1.860
Volume, Å³ per cell: 171


[2]
Below is NaMgTl3 after structural relaxation, with properties calculated at the PBE-GGA level. Values from VASP.

The structure in Quantum ESPRESSO input format:
```
&SYSTEM
  ibrav = 0, nat = 10, ntyp = 3
/
ATOMIC_SPECIES
Tl 204.38 Tl.upf
Mg 24.30 Mg.upf
Na 22.99 Na.upf
CELL_PARAMETERS angstrom
-1.943 -4.923 2.923
-0.720 -3.663 -6.648
6.581 -0.320 3.836
ATOMIC_POSITIONS angstrom
Tl 3.406 -6.192 1.214
Tl 0.955 -4.527 2.390
Tl 2.963 -4.379 -2.279
Tl 3.708 -4.661 3.995
Tl 0.512 -2.714 -1.103
Tl 0.211 -4.245 -3.884
Mg 0.000 0.000 0.000
Mg -0.972 -2.461 1.461
Na 0.258 -6.240 -0.959
Na 3.661 -2.666 1.071
```

Computed properties:
VASP energy, eV per formula unit: -9.9
Formation enthalpy at 0 K, eV/atom: 0.017
Volume, Å³ per cell: 304


[3]
Below is PaTc2B after structural relaxation, with properties calculated at the PBE-GGA level. Values from VASP.

The structure in Quantum ESPRESSO input format:
```
&SYSTEM
  ibrav = 0, nat = 4, ntyp = 3
/
ATOMIC_SPECIES
Tc 98.00 Tc.upf
Pa 231.04 Pa.upf
B 10.81 B.upf
CELL_PARAMETERS angstrom
-0.164 -4.611 0.133
0.829 -2.226 3.958
-3.073 -2.140 2.132
ATOMIC_POSITIONS angstrom
Tc -1.571 -6.743 4.612
Tc -0.837 -2.234 1.610
Pa -1.204 -4.488 3.111
B 0.000 0.000 0.000
```

Computed properties:
VASP energy, eV per formula unit: -35.6
Formation enthalpy at 0 K, eV/atom: 0.317
Volume, Å³ per cell: 62


[4]
Below is Sn3RhSe after structural relaxation, with properties calculated at the PBE-GGA level. Values from VASP.

The structure in Quantum ESPRESSO input format:
```
&SYSTEM
  ibrav = 0, nat = 5, ntyp = 3
/
ATOMIC_SPECIES
Se 78.96 Se.upf
Sn 118.71 Sn.upf
Rh 102.91 Rh.upf
CELL_PARAMETERS angstrom
5.125 0.000 0.000
0.000 5.125 0.000
0.000 0.000 5.125
ATOMIC_POSITIONS angstrom
Se 2.562 2.562 2.562
Sn 2.562 0.000 0.000
Sn 0.000 2.562 0.000
Sn 0.000 0.000 2.562
Rh 0.000 0.000 0.000
```

Computed properties:
VASP energy, eV per formula unit: -23.6
Volume, Å³ per cell: 135